Entry from Alexandria: LiReNi4 after structural relaxation (PBE).

The value obtained for the total moment is 0.0 μB/f.u. The calculation puts the formation energy at 0.041 eV/atom. The electronic total energy comes out at -37.24 eV per formula unit.

```
LiReNi4
1.0
6.827 0.000 0.000
0.000 4.391 0.000
-1.202 0.000 4.770
Li Re Ni
2 2 8
direct
0.000 0.000 0.000
0.000 0.000 0.500
0.500 0.414 0.250
0.500 0.586 0.750
0.166 0.456 0.424
0.166 0.544 0.924
0.337 0.072 0.828
0.337 0.928 0.328
0.663 0.072 0.672
0.663 0.928 0.172
0.834 0.456 0.076
0.834 0.544 0.576
```